Entry 1:
This record from Alexandria describes crystalline AcEr2Tl at its relaxed geometry. The functional is PBE-GGA.

Energy relative to the lowest polymorph listed for this composition in eV/f.u.: 0.21
Formation energy in eV/atom: -0.09

a = 5.038 Å, b = 5.038 Å, c = 4.988 Å
α = 90.00°, β = 90.00°, γ = 90.00°
Positions (direct):
Ac  0.000  0.000  0.000
Er  0.000  0.500  0.500
Er  0.500  0.000  0.500
Tl  0.500  0.500  0.000

---

Entry 2:
This record from Alexandria describes crystalline Ac2ErTl4 at its relaxed geometry. The functional is PBE-GGA.

Energy relative to the lowest polymorph listed for this composition in eV/f.u.: 0.40
Formation energy in eV/atom: -0.21

a = 8.726 Å, b = 8.726 Å, c = 8.726 Å
α = 143.21°, β = 143.21°, γ = 53.02°
Positions (direct):
Ac  0.248  0.248  0.000
Ac  0.752  0.752  0.000
Er  0.500  0.500  0.000
Tl  0.104  0.604  0.500
Tl  0.396  0.896  0.500
Tl  0.604  0.104  0.500
Tl  0.896  0.396  0.500

---

Question: Which formula does entry 1 have?
Answer: AcEr2Tl